Here is a relaxed Hf2ScCuN crystal from Alexandria via LeMat-Bulk. Energies are from PBE.

abc: 4.372 4.372 4.336
angles: 90.00 90.00 90.00
Element x y z (fractional)
Hf 0.000 0.500 0.000
Hf 0.500 0.000 0.000
Sc 0.000 0.000 0.500
Cu 0.500 0.500 0.500
N 0.000 0.000 0.000

Values from the calculation:
- spin magnetization (μB per cell) = 0.00
- calculated total energy (eV per atom) = -8.488
- space group = P4/mmm (123)